Entry 1:
Computed, not measured: a relaxed structure of SrLaTb at the PBE level of DFT.

POSCAR file:
```
SrLaTb
1.0
3.806 0.000 0.000
-1.903 3.296 0.000
0.000 0.000 9.469
Sr Tb La
1 1 1
Direct
0.000 0.000 0.007
0.667 0.333 0.349
0.333 0.667 0.644
```

Its density of states at the Fermi level is 3.864 states/eV/cell. Its space group is P3m1. The value obtained for the formation energy is 0.35 eV per formula unit. The electronic total energy comes out at -3.629 eV per atom. The volume is 39.6 Å³ per atom. The excess energy over the best structure of this formula in the dataset comes out at 13.0 meV/atom.

Entry 2:
Computed, not measured: a relaxed structure of SrLaTb at the PBE level of DFT.

POSCAR file:
```
SrLaTb
1.0
6.720 1.782 0.941
4.900 4.931 0.941
7.329 4.234 11.173
Sr La Tb
2 2 2
Direct
0.970 0.970 0.201
0.780 0.780 0.107
0.558 0.558 0.491
0.195 0.195 0.817
0.274 0.274 0.525
0.482 0.482 0.781
```

Its density of states at the Fermi level is 9.486 states/eV/cell. Its space group is Cm. The value obtained for the formation energy is 0.88 eV per formula unit. The electronic total energy comes out at -3.455 eV per atom. The volume is 40.6 Å³ per atom. The excess energy over the best structure of this formula in the dataset comes out at 187.2 meV/atom.

Entry 3:
Computed, not measured: a relaxed structure of SrLaTb4 at the PBE level of DFT.

POSCAR file:
```
SrLaTb4
1.0
-5.846 -1.600 3.144
-0.031 -4.674 4.978
-1.030 1.914 6.473
Sr Tb La
1 4 1
Direct
0.250 0.250 0.250
0.627 0.627 0.118
0.627 0.118 0.627
0.627 0.627 0.627
0.118 0.627 0.627
0.000 0.000 0.000
```

Its density of states at the Fermi level is 8.469 states/eV/cell. Its space group is F-43m. The value obtained for the formation energy is 1.47 eV per formula unit. The electronic total energy comes out at -3.943 eV per atom. The volume is 37.5 Å³ per atom.

> Which formula does entry 2 have?

SrLaTb

What did the first record say?
Computed, not measured: a relaxed structure of SrLaTb at the PBE level of DFT.

POSCAR file:
```
SrLaTb
1.0
3.806 0.000 0.000
-1.903 3.296 0.000
0.000 0.000 9.469
Sr Tb La
1 1 1
Direct
0.000 0.000 0.007
0.667 0.333 0.349
0.333 0.667 0.644
```

Its density of states at the Fermi level is 3.864 states/eV/cell. Its space group is P3m1. The value obtained for the formation energy is 0.35 eV per formula unit. The electronic total energy comes out at -3.629 eV per atom. The volume is 39.6 Å³ per atom. The excess energy over the best structure of this formula in the dataset comes out at 13.0 meV/atom.

> What is the formula in the first record?

SrLaTb